#w
VASP calculation (PBE) on CaAl2Hg2 after structural relaxation.

Calculated values
M_tot = 0.000 μB per formula unit
ρ = 7.18 g/cm3
SG = No. 129

abc: 4.490 4.490 11.361
angles: 90.00 90.00 90.00
Element x y z (fractional)
Ca (0.500, 0.000, 0.252)
Hg (0.000, 0.000, 0.500)
Al (0.000, 0.500, 0.364)
Ca (0.000, 0.500, 0.748)
Al (0.500, 0.500, 0.000)
Al (0.500, 0.000, 0.636)
Al (0.000, 0.000, 0.000)
Hg (0.500, 0.000, 0.862)
Hg (0.000, 0.500, 0.138)
Hg (0.500, 0.500, 0.500)

***

#x
VASP calculation (PBE) on CaAl2Hg2 after structural relaxation.

Calculated values
M_tot = 0.000 μB per formula unit
ρ = 7.27 g/cm3
SG = No. 139

abc: 4.229 4.229 6.998
angles: 72.41 72.41 90.00
Element x y z (fractional)
Al (0.250, 0.750, 0.500)
Hg (0.388, 0.388, 0.224)
Al (0.750, 0.250, 0.500)
Ca (0.000, 0.000, 0.000)
Hg (0.612, 0.612, 0.776)

***

Energy comparison, zero being the most stable, in meV per atom: #w 34; #x 0.

***

#w
VASP calculation (PBE) on CaAl2Hg2 after structural relaxation.

Calculated values
M_tot = 0.000 μB per formula unit
ρ = 7.13 g/cm3
SG = No. 127

abc: 8.155 8.155 3.471
angles: 90.00 90.00 90.00
Element x y z (fractional)
Hg (0.142, 0.358, 0.000)
Al (0.344, 0.156, 0.500)
Hg (0.642, 0.142, 0.000)
Hg (0.858, 0.642, 0.000)
Al (0.844, 0.344, 0.500)
Ca (0.500, 0.500, 0.000)
Ca (0.000, 0.000, 0.000)
Al (0.656, 0.844, 0.500)
Hg (0.358, 0.858, 0.000)
Al (0.156, 0.656, 0.500)

***

#x
VASP calculation (PBE) on CaAl2Hg2 after structural relaxation.

Calculated values
M_tot = 0.000 μB per formula unit
ρ = 7.25 g/cm3
SG = No. 127

abc: 8.019 8.019 3.526
angles: 90.00 90.00 90.00
Element x y z (fractional)
Al (0.119, 0.381, 0.000)
Hg (0.322, 0.178, 0.500)
Ca (0.500, 0.500, 0.000)
Al (0.381, 0.881, 0.000)
Ca (0.000, 0.000, 0.000)
Hg (0.178, 0.678, 0.500)
Al (0.881, 0.619, 0.000)
Hg (0.678, 0.822, 0.500)
Hg (0.822, 0.322, 0.500)
Al (0.619, 0.119, 0.000)

***

Energy comparison, zero being the most stable, in meV per atom: #w 36; #x 0.